Density functional theory data (PBE) for La4Ag2Au3 after structural relaxation. Values from VASP.

Structure (Quantum ESPRESSO input):
```
&SYSTEM
  ibrav = 0, nat = 9, ntyp = 3
/
ATOMIC_SPECIES
La 138.91 La.upf
Ag 107.87 Ag.upf
Au 196.97 Au.upf
ATOMIC_POSITIONS crystal
La 0.0817 0.0817 0.3457
La 0.3475 0.3475 0.0803
La 0.6525 0.6525 0.9197
La 0.9183 0.9183 0.6543
Ag 0.2333 0.2333 0.7108
Ag 0.7667 0.7667 0.2892
Au 0.0000 0.0000 0.0000
Au 0.3773 0.3773 0.4199
Au 0.6227 0.6227 0.5801
CELL_PARAMETERS angstrom
5.3651 -2.4821 0.0000
5.3651 2.4821 0.0000
-1.2806 0.0000 8.9956
```

---

! PmDy9Ho2 | Alexandria via LeMat-Bulk | PBE | relaxed; values from VASP
! - energy above the most stable polymorph in this dataset (meV/atom) = 0
&SYSTEM
  ibrav = 0, nat = 12, ntyp = 3
/
ATOMIC_SPECIES
Pm 145.00 Pm.upf
Dy 162.50 Dy.upf
Ho 164.93 Ho.upf
ATOMIC_POSITIONS crystal
Pm 0.0000 0.0000 0.0000
Dy 0.0000 0.5000 0.1685
Dy 0.0000 0.5000 0.5000
Dy 0.0000 0.5000 0.8315
Dy 0.5000 0.0000 0.1685
Dy 0.5000 0.0000 0.5000
Dy 0.5000 0.0000 0.8315
Dy 0.5000 0.5000 0.0000
Dy 0.5000 0.5000 0.3347
Dy 0.5000 0.5000 0.6653
Ho 0.0000 0.0000 0.3342
Ho 0.0000 0.0000 0.6658
CELL_PARAMETERS angstrom
5.0170 0.0000 0.0000
0.0000 5.0170 0.0000
0.0000 0.0000 15.0557

---

Density functional theory data (PBE) for Tb8SnC4 after structural relaxation. Values from VASP.

Structure (Quantum ESPRESSO input):
```
&SYSTEM
  ibrav = 0, nat = 13, ntyp = 3
/
ATOMIC_SPECIES
Tb 158.93 Tb.upf
Sn 118.71 Sn.upf
C 12.01 C.upf
ATOMIC_POSITIONS crystal
Tb 0.0415 0.0415 0.2409
Tb 0.2973 0.2973 0.4326
Tb 0.3356 0.3356 0.1618
Tb 0.3698 0.3698 0.9116
Tb 0.6302 0.6302 0.0884
Tb 0.6644 0.6644 0.8382
Tb 0.7027 0.7027 0.5674
Tb 0.9585 0.9585 0.7591
Sn 0.0000 0.0000 0.5000
C 0.1489 0.1489 0.9624
C 0.3330 0.3330 0.6695
C 0.6670 0.6670 0.3305
C 0.8511 0.8511 0.0376
CELL_PARAMETERS angstrom
8.7405 -1.8223 0.0000
8.7405 1.8223 0.0000
-7.7932 0.0000 9.0097
```

---

Density functional theory data (PBE) for CaAc2Al4Au3 after structural relaxation. Values from VASP.

Structure (Quantum ESPRESSO input):
```
&SYSTEM
  ibrav = 0, nat = 10, ntyp = 4
/
ATOMIC_SPECIES
Ca 40.08 Ca.upf
Ac 227.00 Ac.upf
Al 26.98 Al.upf
Au 196.97 Au.upf
ATOMIC_POSITIONS crystal
Ca 0.0000 0.0000 0.0000
Ac 0.0000 0.5000 0.7287
Ac 0.5000 0.0000 0.2713
Al 0.0000 0.0000 0.5000
Al 0.0000 0.5000 0.1660
Al 0.5000 0.0000 0.8340
Al 0.5000 0.5000 0.5000
Au 0.0000 0.5000 0.3832
Au 0.5000 0.0000 0.6168
Au 0.5000 0.5000 0.0000
CELL_PARAMETERS angstrom
4.5044 0.0000 0.0000
0.0000 4.5044 0.0000
0.0000 0.0000 11.8742
```

---

Density functional theory data (PBE) for CaFe2P after structural relaxation. Values from VASP.

Structure (Quantum ESPRESSO input):
```
&SYSTEM
  ibrav = 0, nat = 4, ntyp = 3
/
ATOMIC_SPECIES
Ca 40.08 Ca.upf
Fe 55.84 Fe.upf
P 30.97 P.upf
ATOMIC_POSITIONS crystal
Ca 0.0000 0.0000 0.0000
Fe 0.3119 0.5000 0.6455
Fe 0.6881 0.5000 0.3545
P 0.5000 0.0000 0.5000
CELL_PARAMETERS angstrom
3.8445 0.0000 0.0000
0.0000 4.0338 0.0000
-1.1187 0.0000 4.7575
```

---

Density functional theory data (PBE) for CaSnGe2 after structural relaxation. Values from VASP.

Structure (Quantum ESPRESSO input):
```
&SYSTEM
  ibrav = 0, nat = 4, ntyp = 3
/
ATOMIC_SPECIES
Ca 40.08 Ca.upf
Sn 118.71 Sn.upf
Ge 72.64 Ge.upf
ATOMIC_POSITIONS crystal
Ca 0.0000 0.0000 0.0000
Sn 0.5000 0.5000 0.0000
Ge 0.0000 0.5000 0.5000
Ge 0.5000 0.0000 0.5000
CELL_PARAMETERS angstrom
4.6042 0.0000 0.0000
0.0000 4.6042 0.0000
0.0000 0.0000 4.2866
```

---

Density functional theory data (PBE) for Ca2MgP3Ir4 after structural relaxation. Values from VASP.

Structure (Quantum ESPRESSO input):
```
&SYSTEM
  ibrav = 0, nat = 10, ntyp = 4
/
ATOMIC_SPECIES
Ca 40.08 Ca.upf
Mg 24.30 Mg.upf
P 30.97 P.upf
Ir 192.22 Ir.upf
ATOMIC_POSITIONS crystal
Ca 0.0000 0.5000 0.2465
Ca 0.5000 0.0000 0.7535
Mg 0.0000 0.0000 0.5000
P 0.0000 0.5000 0.8695
P 0.5000 0.0000 0.1305
P 0.5000 0.5000 0.5000
Ir 0.0000 0.0000 0.0000
Ir 0.0000 0.5000 0.6493
Ir 0.5000 0.0000 0.3507
Ir 0.5000 0.5000 0.0000
CELL_PARAMETERS angstrom
4.0491 0.0000 0.0000
0.0000 4.0491 0.0000
0.0000 0.0000 10.3008
```

---

Density functional theory data (PBE) for PuScGa2Au2 after structural relaxation. Values from VASP.

Structure (Quantum ESPRESSO input):
```
&SYSTEM
  ibrav = 0, nat = 6, ntyp = 4
/
ATOMIC_SPECIES
Pu 244.00 Pu.upf
Sc 44.96 Sc.upf
Ga 69.72 Ga.upf
Au 196.97 Au.upf
ATOMIC_POSITIONS crystal
Pu 0.0000 0.0000 0.0000
Sc 0.0000 0.0000 0.5000
Ga 0.3333 0.6667 0.2724
Ga 0.6667 0.3333 0.7276
Au 0.3333 0.6667 0.7126
Au 0.6667 0.3333 0.2874
CELL_PARAMETERS angstrom
4.5275 0.0000 0.0000
-2.2637 3.9209 0.0000
0.0000 0.0000 6.8522
```

---

| no. | E_form (meV/atom) | DOS at the Fermi energy (states/eV/cell) | ρ (g/cm3) |
| --- | --- | --- | --- |
| 1 | -557 | 8.346 | 9.442 |
| 2 | 21 | 18.205 | 8.489 |
| 3 | -315 | 9.236 | 8.321 |
| 4 | -576 | 6.199 | 8.222 |
| 5 | 67 | 3.417 | 4.113 |
| 6 | -258 | 1.896 | 5.556 |
| 7 | -746 | 6.239 | 9.500 |
| 8 | -586 | 14.305 | 11.226 |